Entry 1:
Computed, not measured: crystalline HfZnCo2 at its relaxed geometry at the PBE level of DFT.

a b c (Å): 3.265 4.065 4.065
angles (deg): 90.00 90.00 90.00
Element x y z (fractional)
Co 0.000 0.000 0.500
Co 0.000 0.500 0.000
Zn 0.500 0.000 0.000
Hf 0.500 0.500 0.500

Values from the calculation:
formation energy	-1.2	eV/f.u.
crystal system	tetragonal
DFT total energy	-6.67	eV per atom
space group	P4/mmm (123)


Entry 2:
Computed, not measured: crystalline HfZn4Co at its relaxed geometry at the PBE level of DFT.

a b c (Å): 4.998 4.998 4.998
angles (deg): 60.00 60.00 60.00
Each line ends with the local moment (μB).
Element x y z (fractional)
Co 0.000 0.000 0.000  1.06
Zn 0.625 0.625 0.124  0.00
Zn 0.625 0.124 0.625  0.00
Zn 0.625 0.625 0.625  0.00
Zn 0.124 0.625 0.625  0.00
Hf 0.250 0.250 0.250  0.02

Values from the calculation:
formation energy	-0.3	eV/f.u.
crystal system	cubic
DFT total energy	-3.74	eV per atom
ΔE to the lowest computed polymorph	0.0	meV/atom
space group	F-43m (216)


Entry 3:
Computed, not measured: crystalline HfZn2Co9 at its relaxed geometry at the PBE level of DFT.

a b c (Å): 4.740 4.740 8.223
angles (deg): 73.25 73.25 60.00
Each line ends with the local moment (μB).
Element x y z (fractional)
Hf 0.000 0.000 0.000  -0.36
Zn 0.857 0.857 0.428  -0.05
Zn 0.143 0.143 0.572  -0.05
Co 0.664 0.664 0.007  1.36
Co 0.336 0.336 0.993  1.36
Co 0.500 0.500 0.500  1.47
Co 0.411 0.411 0.255  1.50
Co 0.922 0.411 0.255  1.50
Co 0.411 0.922 0.255  1.50
Co 0.589 0.589 0.745  1.50
Co 0.589 0.078 0.745  1.50
Co 0.078 0.589 0.745  1.50

Values from the calculation:
formation energy	-0.3	eV/f.u.
crystal system	trigonal
DFT total energy	-6.39	eV per atom
space group	R-3m (166)


Entry 4:
Computed, not measured: crystalline HfZn11Co at its relaxed geometry at the PBE level of DFT.

a b c (Å): 5.080 6.627 6.695
angles (deg): 81.33 67.70 66.58
Element x y z (fractional)
Hf 0.000 0.000 0.000
Zn 0.297 0.214 0.208
Zn 0.703 0.786 0.792
Zn 0.495 0.786 0.208
Zn 0.505 0.214 0.792
Zn 0.365 0.645 0.661
Zn 0.635 0.355 0.339
Zn 0.974 0.355 0.661
Zn 0.026 0.645 0.339
Zn 0.000 0.500 0.000
Zn 0.500 0.000 0.500
Zn 0.000 0.000 0.500
Co 0.500 0.500 0.000

Values from the calculation:
formation energy	-1.1	eV/f.u.
crystal system	monoclinic
DFT total energy	-2.47	eV per atom
space group	C2/m (12)


Entry 5:
Computed, not measured: crystalline Hf6ZnCo at its relaxed geometry at the PBE level of DFT.

a b c (Å): 6.019 6.019 5.969
angles (deg): 102.85 102.85 119.74
Element x y z (fractional)
Hf 0.263 0.263 0.738
Hf 0.470 0.071 0.255
Hf 0.737 0.737 0.262
Hf 0.929 0.530 0.745
Hf 0.530 0.929 0.745
Hf 0.071 0.470 0.255
Zn 0.000 0.000 0.000
Co 0.500 0.500 0.500

Values from the calculation:
formation energy	1.7	eV/f.u.
crystal system	monoclinic
DFT total energy	-8.30	eV per atom
space group	C2/m (12)


Entry 6:
Computed, not measured: crystalline Hf6Zn2Co at its relaxed geometry at the PBE level of DFT.

a b c (Å): 5.351 7.717 8.563
angles (deg): 90.00 83.46 90.00
Element x y z (fractional)
Hf 0.884 0.964 0.221
Hf 0.895 0.680 0.546
Hf 0.909 0.682 0.951
Hf 0.591 0.182 0.549
Hf 0.605 0.180 0.954
Hf 0.616 0.464 0.279
Hf 0.116 0.036 0.779
Hf 0.105 0.320 0.454
Hf 0.091 0.318 0.049
Hf 0.409 0.818 0.451
Hf 0.395 0.820 0.046
Hf 0.384 0.536 0.721
Zn 0.892 0.392 0.758
Zn 0.608 0.892 0.742
Zn 0.392 0.108 0.258
Zn 0.108 0.608 0.242
Co 0.500 0.500 0.000
Co 0.000 0.000 0.500

Values from the calculation:
formation energy	-0.4	eV/f.u.
crystal system	monoclinic
DFT total energy	-7.75	eV per atom
ΔE to the lowest computed polymorph	151.0	meV/atom
space group	P2_1/c (14)


Entry 7:
Computed, not measured: crystalline HfZnCo at its relaxed geometry at the PBE level of DFT.

a b c (Å): 3.275 3.275 4.871
angles (deg): 109.64 109.64 90.00
Each line ends with the local moment (μB).
Element x y z (fractional)
Hf 0.604 0.604 0.209  -0.02
Zn 0.292 0.292 0.585  0.00
Co 0.953 0.953 0.906  0.18

Values from the calculation:
formation energy	-0.7	eV/f.u.
crystal system	tetragonal
DFT total energy	-6.34	eV per atom
space group	I4mm (107)


Entry 8:
Computed, not measured: crystalline Hf2Zn3Co2 at its relaxed geometry at the PBE level of DFT.

a b c (Å): 3.689 5.002 6.400
angles (deg): 98.94 90.00 111.64
Element x y z (fractional)
Hf 0.623 0.247 0.362
Hf 0.377 0.753 0.638
Zn 0.305 0.610 0.122
Zn 0.000 0.000 0.000
Zn 0.695 0.390 0.878
Co 0.097 0.194 0.650
Co 0.903 0.806 0.350

Values from the calculation:
formation energy	-1.8	eV/f.u.
crystal system	monoclinic
DFT total energy	-5.68	eV per atom
space group	C2/m (12)


Entry 9:
Computed, not measured: crystalline HfZnCo at its relaxed geometry at the PBE level of DFT.

a b c (Å): 4.028 4.893 5.074
angles (deg): 90.00 90.00 114.31
Element x y z (fractional)
Hf 0.208 0.416 0.750
Hf 0.792 0.584 0.250
Zn 0.500 0.000 0.500
Zn 0.500 0.000 0.000
Co 0.099 0.197 0.250
Co 0.901 0.803 0.750

Values from the calculation:
formation energy	-1.1	eV/f.u.
crystal system	orthorhombic
DFT total energy	-6.49	eV per atom
space group	Cmcm (63)


Entry 10:
Computed, not measured: crystalline HfZr2Co at its relaxed geometry at the PBE level of DFT.

a b c (Å): 7.604 7.604 6.077
angles (deg): 51.27 51.27 90.00
Element x y z (fractional)
Co 0.500 0.500 0.000
Co 0.250 0.750 0.500
Hf 0.000 0.000 0.000
Hf 0.750 0.250 0.500
Zr 0.565 0.125 0.250
Zr 0.185 0.625 0.250
Zr 0.375 0.435 0.750
Zr 0.875 0.815 0.750

Values from the calculation:
formation energy	0.5	eV/f.u.
crystal system	tetragonal
DFT total energy	-8.41	eV per atom
ΔE to the lowest computed polymorph	345.2	meV/atom
space group	I-42d (122)


Entry 11:
Computed, not measured: crystalline HfZrCo2 at its relaxed geometry at the PBE level of DFT.

a b c (Å): 6.817 6.817 5.618
angles (deg): 52.65 52.65 90.00
Element x y z (fractional)
Co 0.628 0.125 0.250
Co 0.122 0.625 0.250
Co 0.375 0.372 0.750
Co 0.875 0.878 0.750
Hf 0.000 0.000 0.000
Hf 0.750 0.250 0.500
Zr 0.500 0.500 0.000
Zr 0.250 0.750 0.500

Values from the calculation:
formation energy	0.5	eV/f.u.
crystal system	tetragonal
DFT total energy	-8.05	eV per atom
space group	I-42d (122)


Entry 12:
Computed, not measured: crystalline HfZr2Co at its relaxed geometry at the PBE level of DFT.

a b c (Å): 5.699 6.133 9.124
angles (deg): 90.00 90.00 90.00
Element x y z (fractional)
Hf 0.661 0.538 0.250
Hf 0.839 0.038 0.250
Hf 0.339 0.462 0.750
Hf 0.161 0.962 0.750
Zr 0.159 0.691 0.060
Zr 0.341 0.191 0.440
Zr 0.841 0.309 0.560
Zr 0.659 0.809 0.940
Zr 0.841 0.309 0.940
Zr 0.659 0.809 0.560
Zr 0.159 0.691 0.440
Zr 0.341 0.191 0.060
Co 0.083 0.387 0.250
Co 0.417 0.887 0.250
Co 0.917 0.613 0.750
Co 0.583 0.113 0.750

Values from the calculation:
formation energy	-0.8	eV/f.u.
crystal system	orthorhombic
DFT total energy	-8.73	eV per atom
ΔE to the lowest computed polymorph	30.3	meV/atom
space group	Pnma (62)


Among the records above, which one has the lowest DFT total energy?
number 12


Number 6 is which compound?
Hf6Zn2Co